# ScAlBr2

A relaxed ScAlBr2 crystal (PBE-GGA, the Alexandria database).

CIF file:
```
data_ScAlBr2
_cell_length_a 3.315
_cell_length_b 3.315
_cell_length_c 9.798
_cell_angle_alpha 90.00
_cell_angle_beta 90.00
_cell_angle_gamma 90.00
_space_group_name_H-M_alt 'P 4/m m m'
_space_group_IT_number 123
_space_group_name_Hall '-P 4 2'
loop_
_atom_site_label
_atom_site_type_symbol
_atom_site_fract_x
_atom_site_fract_y
_atom_site_fract_z
Sc1 Sc 0.000 0.000 0.000
Al1 Al 0.000 0.000 0.500
Br1 Br 0.500 0.500 0.170
```

Calculated values
- relative energy among the computed polymorphs (eV/atom) = 0.1890
- uncorrected formation energy (eV/atom) = -0.60
- total moment (μB per formula unit) = 0.00


# Sc2AlBr

A relaxed Sc2AlBr crystal (PBE-GGA, the Alexandria database).

CIF file:
```
data_Sc2AlBr
_cell_length_a 3.379
_cell_length_b 4.656
_cell_length_c 5.764
_cell_angle_alpha 90.00
_cell_angle_beta 90.00
_cell_angle_gamma 90.00
_space_group_name_H-M_alt 'P m m m'
_space_group_IT_number 47
loop_
_space_group_symop_operation_xyz
'x,y,z'
'-x,-y,-z'
'-x,-y,z'
'x,y,-z'
'x,-y,-z'
'-x,y,z'
'-x,y,-z'
'x,-y,z'
loop_
_atom_site_label
_atom_site_type_symbol
_atom_site_fract_x
_atom_site_fract_y
_atom_site_fract_z
Sc1 Sc 0.000 0.000 0.000
Sc2 Sc 0.500 0.000 0.500
Al1 Al 0.000 0.500 0.500
Br1 Br 0.500 0.500 0.000
```

Calculated values
- relative energy among the computed polymorphs (eV/atom) = 0.4108
- uncorrected formation energy (eV/atom) = -0.21
- total moment (μB per formula unit) = 0.01


# ScAl2Br

A relaxed ScAl2Br crystal (PBE-GGA, the Alexandria database).

CIF file:
```
data_ScAl2Br
_cell_length_a 5.136
_cell_length_b 5.136
_cell_length_c 3.241
_cell_angle_alpha 90.00
_cell_angle_beta 90.00
_cell_angle_gamma 90.00
_space_group_name_H-M_alt 'P 4/m m m'
_space_group_IT_number 123
_space_group_name_Hall '-P 4 2'
loop_
_atom_site_label
_atom_site_type_symbol
_atom_site_fract_x
_atom_site_fract_y
_atom_site_fract_z
Sc1 Sc 0.000 0.000 0.000
Al1 Al 0.000 0.500 0.500
Br1 Br 0.500 0.500 0.000
```

Calculated values
- relative energy among the computed polymorphs (eV/atom) = 0.2384
- uncorrected formation energy (eV/atom) = -0.10
- total moment (μB per formula unit) = 0.00


> Which formula does entry 3 have?

ScAl2Br